DFT (PBE-GGA) results for an optimized crystal structure of CrP.

Geometry as POSCAR:
```
CrP
1.0
3.060 0.000 0.000
0.000 8.948 0.000
0.000 0.000 5.956
P Cr
6 6
direct
0.500 0.146 0.732
0.000 0.000 0.148
0.500 0.646 0.232
0.000 0.500 0.648
0.500 0.854 0.732
0.500 0.354 0.232
0.000 0.756 0.982
0.500 0.500 0.926
0.000 0.744 0.482
0.000 0.256 0.482
0.500 0.000 0.426
0.000 0.244 0.982
```

Total magnetization in Bohr magnetons per cell: 5.9
Mass density in g/cm3: 5.07
E_form in eV/atom: -0.21

DFT (PBE-GGA) results for an optimized crystal structure of CaGaCuNi3.

Geometry as POSCAR:
```
CaGaCuNi3
1.0
5.534 0.000 0.000
0.000 5.672 0.000
0.000 -2.836 5.845
Ni Ca Ga Cu
6 2 2 2
direct
0.750 0.864 0.728
0.250 0.136 0.272
0.500 0.712 0.000
0.000 0.288 0.000
0.000 0.712 0.000
0.500 0.288 0.000
0.750 0.303 0.605
0.250 0.697 0.395
0.750 0.644 0.288
0.250 0.356 0.712
0.750 0.082 0.165
0.250 0.918 0.835
```

Total magnetization in Bohr magnetons per cell: 0.0
Mass density in g/cm3: 6.32
E_form in eV/atom: -0.04

DFT (PBE-GGA) results for an optimized crystal structure of AcPm2Sm3Te6.

Geometry as POSCAR:
```
AcPm2Sm3Te6
1.0
7.792 -0.026 -0.008
-3.917 6.736 -0.008
-1.300 -2.251 7.386
Te Sm Pm Ac
6 3 2 1
direct
0.087 0.431 0.261
0.739 0.739 0.251
0.431 0.087 0.261
0.261 0.261 0.749
0.569 0.913 0.739
0.913 0.569 0.739
0.841 0.159 0.500
0.159 0.841 0.500
0.500 0.500 0.500
0.668 0.332 0.000
0.332 0.668 0.000
0.000 0.000 0.000
```

Total magnetization in Bohr magnetons per cell: 0.0
ΔE_f (raw) in eV per atom: -1.4035
Mass density in g/cm3: 7.45

DFT (PBE-GGA) results for an optimized crystal structure of ZnAs2Pd8.

Geometry as POSCAR:
```
ZnAs2Pd8
1.0
4.604 -0.153 -1.276
-1.051 5.163 -2.140
-0.138 0.141 7.286
Pd As Zn
8 2 1
direct
0.300 0.502 0.909
0.487 0.766 0.675
0.894 0.467 0.525
0.279 0.852 0.293
0.294 0.340 0.248
0.721 0.000 0.143
0.783 0.276 0.909
0.957 0.000 0.571
0.753 0.607 0.230
0.431 0.286 0.588
0.101 0.906 0.909
```

Total magnetization in Bohr magnetons per cell: 0.0
Mass density in g/cm3: 10.26
E_form in eV/atom: -0.34
Distance to the lowest polymorph of the same formula in meV/atom: 0

DFT (PBE-GGA) results for an optimized crystal structure of NaSiTe2O6.

Geometry as POSCAR:
```
NaSiTe2O6
1.0
5.253 -0.277 -0.287
1.340 7.725 -0.835
1.340 -1.121 7.689
Te Na O Si
4 2 12 2
direct
0.225 0.455 0.228
0.775 0.545 0.772
0.275 0.772 0.545
0.725 0.228 0.455
0.750 0.076 0.924
0.250 0.924 0.076
0.096 0.618 0.710
0.596 0.710 0.618
0.988 0.321 0.818
0.172 0.983 0.784
0.488 0.818 0.321
0.328 0.216 0.017
0.512 0.182 0.679
0.904 0.382 0.290
0.672 0.784 0.983
0.012 0.679 0.182
0.404 0.290 0.382
0.828 0.017 0.216
0.250 0.184 0.816
0.750 0.816 0.184
```

Total magnetization in Bohr magnetons per cell: 0.0
ΔE_f (raw) in eV per atom: -1.4738
Mass density in g/cm3: 4.26

DFT (PBE-GGA) results for an optimized crystal structure of ZnCdB2Ir.

Geometry as POSCAR:
```
ZnCdB2Ir
1.0
3.902 0.000 0.000
0.000 5.147 0.000
0.000 0.000 3.902
Zn Cd Ir B
1 1 1 2
direct
0.000 0.000 0.000
0.000 0.500 0.000
0.500 0.500 0.500
0.500 0.000 0.000
0.000 0.000 0.500
```

Total magnetization in Bohr magnetons per cell: 0.0
Mass density in g/cm3: 8.30
E_form in eV/atom: 1.68